The following is a DFT calculation (PBE) of crystalline Ta3Br7 at its relaxed geometry.

abc: 10.313 10.313 11.967
angles: 90.00 90.00 93.14
Positions (direct):
Br: 0.719 0.529 0.236
Br: 0.585 0.165 0.975
Br: 0.629 0.871 0.250
Br: 0.471 0.281 0.236
Br: 0.117 0.883 0.767
Br: 0.835 0.415 0.975
Br: 0.617 0.383 0.733
Br: 0.744 0.744 0.500
Br: 0.971 0.781 0.264
Ta: 0.112 0.888 0.423
Br: 0.915 0.335 0.475
Ta: 0.653 0.558 0.891
Br: 0.165 0.585 0.025
Br: 0.281 0.471 0.764
Br: 0.129 0.371 0.250
Br: 0.219 0.029 0.264
Br: 0.529 0.719 0.764
Ta: 0.558 0.653 0.109
Ta: 0.388 0.612 0.923
Ta: 0.347 0.442 0.109
Br: 0.871 0.629 0.750
Br: 0.029 0.219 0.736
Br: 0.085 0.665 0.525
Br: 0.256 0.256 0.500
Ta: 0.612 0.388 0.077
Ta: 0.888 0.112 0.577
Br: 0.756 0.756 0.000
Br: 0.665 0.085 0.475
Br: 0.371 0.129 0.750
Br: 0.415 0.835 0.025
Ta: 0.942 0.847 0.609
Ta: 0.847 0.942 0.391
Ta: 0.442 0.347 0.891
Ta: 0.153 0.058 0.609
Br: 0.781 0.971 0.736
Br: 0.383 0.617 0.267
Br: 0.335 0.915 0.525
Br: 0.883 0.117 0.233
Br: 0.244 0.244 0.000
Ta: 0.058 0.153 0.391

Raw formation energy: -869 meV per atom